First-principles (GGA+U) data for an optimized crystal structure of K2Si2MoO6, as listed in Alexandria.

POSCAR file:
```
K2Si2MoO6
1.0
2.828 1.632 5.707
-2.828 1.632 5.707
0.000 -3.265 5.707
K Si Mo O
2 2 1 6
direct
0.222 0.222 0.222
0.778 0.778 0.778
0.432 0.432 0.432
0.568 0.568 0.568
0.000 0.000 0.000
0.243 0.243 0.725
0.243 0.725 0.243
0.275 0.757 0.757
0.725 0.243 0.243
0.757 0.275 0.757
0.757 0.757 0.275
```

Properties
DOS at the Fermi energy = 3.0 states/eV per cell
calculated total energy = -6.626 eV/atom
total magnetic moment = 2.00 μB/f.u.